1.
LiMg3Ag | meta-GGA SCAN | PBEsol geometry

Values from the calculation:
Volume = 131.65 Å³ per cell

Cell and atoms, written as CIF:
```
data_LiMg3Ag
_cell_length_a 5.087
_cell_length_b 5.087
_cell_length_c 5.087
_cell_angle_alpha 90.00
_cell_angle_beta 90.00
_cell_angle_gamma 90.00
_symmetry_space_group_name_H-M 'P m -3 m'
_symmetry_Int_Tables_number 221
_symmetry_space_group_name_Hall '-P 4 2 3'
loop_
_atom_site_label
_atom_site_type_symbol
_atom_site_fract_x
_atom_site_fract_y
_atom_site_fract_z
Li1 Li 0.000 0.000 0.000
Mg1 Mg 0.000 0.500 0.500
Ag1 Ag 0.500 0.500 0.500
```

---

2.
Ca2CrCo | meta-GGA SCAN | PBEsol geometry

Values from the calculation:
Volume = 87.39 Å³ per cell
Energy above the lowest structure with this stoichiometry = 63 meV/atom

Cell and atoms, written as CIF:
```
data_Ca2CrCo
_cell_length_a 3.414
_cell_length_b 3.414
_cell_length_c 7.496
_cell_angle_alpha 90.00
_cell_angle_beta 90.00
_cell_angle_gamma 90.00
_symmetry_space_group_name_H-M 'P 4/m m m'
_symmetry_Int_Tables_number 123
_symmetry_space_group_name_Hall '-P 4 2'
loop_
_atom_site_label
_atom_site_type_symbol
_atom_site_fract_x
_atom_site_fract_y
_atom_site_fract_z
Ca1 Ca 0.000 0.000 0.215
Cr1 Cr 0.500 0.500 0.500
Co1 Co 0.500 0.500 0.000
```

---

In the order shown, the computed calculated formation energy values come out to 34 184 kJ/mol of formula units.